No. 1
# Mg2TlSe, optimized geometry, DFT PBE
# Energy above the lowest structure with this stoichiometry in meV per atom: 71
# Mass density in g/cm³: 5.14
# N(E_F) in states/eV/f.u.: 2.032
data_Mg2TlSe
_chemical_formula_sum 'Mg2 Tl1 Se1'
_symmetry_space_group_name_H-M 'P 4 m m'
_symmetry_Int_Tables_number 99
_symmetry_space_group_name_Hall 'P 4 -2'
_cell_length_a 3.624
_cell_length_b 3.624
_cell_length_c 8.169
_cell_angle_alpha 90.00
_cell_angle_beta 90.00
_cell_angle_gamma 90.00
loop_
_atom_site_label
_atom_site_fract_x
_atom_site_fract_y
_atom_site_fract_z
_atom_site_occupancy
Mg1 0.000 0.000 0.000 1
Mg2 0.500 0.500 0.410 1
Tl1 0.500 0.500 0.768 1
Se1 0.000 0.000 0.320 1



No. 2
# MgTlSe2, optimized geometry, DFT PBE
# Electronic total energy in eV/f.u.: -12.8
# Mass density in g/cm³: 6.19
# N(E_F) in states/eV/f.u.: 2.895
data_MgTlSe2
_chemical_formula_sum 'Mg2 Tl2 Se4'
_symmetry_space_group_name_H-M 'C m m m'
_symmetry_Int_Tables_number 65
_symmetry_space_group_name_Hall '-C 2 2'
_cell_length_a 4.215
_cell_length_b 6.269
_cell_length_c 7.850
_cell_angle_alpha 90.00
_cell_angle_beta 90.00
_cell_angle_gamma 90.00
loop_
_atom_site_label
_atom_site_fract_x
_atom_site_fract_y
_atom_site_fract_z
_atom_site_occupancy
Mg1 0.000 0.000 0.000 1
Tl1 0.000 0.000 0.500 1
Se1 0.000 0.500 0.207 1



The lowest N(E_F) belongs to which entry?
Mg2TlSe